TaHI2 | PBE-GGA | relaxed

```
TaHI2
1.0
7.220 -2.792 0.000
7.220 2.792 0.000
-4.142 0.000 6.755
Ta H I
2 2 4
Cartesian
7.220 1.512 0.000 Ta
7.220 -1.512 0.000 Ta
0.614 0.000 1.252 H
9.063 0.000 6.106 H
-2.356 0.000 5.015 I
1.904 0.000 4.651 I
5.468 0.000 1.687 I
9.288 0.000 1.236 I
```

DFT total energy ... -4.77 eV/atom
Space-group type ... Cm, No. 8

Li5Cd12Pd2 | PBE-GGA | relaxed

```
Li5Cd12Pd2
1.0
6.771 -4.014 0.000
6.771 4.014 0.000
-0.055 0.000 6.995
Li Cd Pd
5 12 2
Cartesian
0.000 0.000 0.000 Li
3.222 0.000 0.458 Li
4.348 0.000 3.617 Li
9.139 0.000 3.378 Li
10.265 0.000 6.537 Li
4.572 2.513 1.860 Cd
1.234 0.000 2.687 Cd
5.056 1.660 5.906 Cd
8.914 2.513 5.135 Cd
8.431 1.660 1.089 Cd
5.966 0.000 1.306 Cd
7.521 0.000 5.689 Cd
5.056 -1.660 5.906 Cd
4.572 -2.513 1.860 Cd
8.431 -1.660 1.089 Cd
12.252 0.000 4.308 Cd
8.914 -2.513 5.135 Cd
6.743 1.564 3.498 Pd
6.743 -1.564 3.498 Pd
```

E_form ... -216 meV per atom
DFT total energy ... -1.84 eV/atom
Space-group type ... C2/m, No. 12

TaSnAs3 | PBE-GGA | relaxed

```
TaSnAs3
1.0
5.058 0.000 0.000
0.000 5.058 0.000
0.000 0.000 5.058
Ta Sn As
1 1 3
Cartesian
0.000 0.000 0.000 Ta
2.529 2.529 2.529 Sn
0.000 2.529 2.529 As
2.529 0.000 2.529 As
2.529 2.529 0.000 As
```

E_form ... 1545 meV per atom
DFT total energy ... -4.42 eV/atom
Space-group type ... Pm-3m, No. 221

Number 1: size of the total moment 0.2 μB per formula unit. Number 2: size of the total moment 0.0 μB per formula unit. Number 3: size of the total moment 0.0 μB per formula unit.